1.
Here is a relaxed structure of Pr2Cu15Au2 from Alexandria via LeMat-Bulk. Energies are from PBE-GGA.

Computed properties:
- Total magnetic moment: 0.000 μB per atom
- Energy of formation: -0.13 eV/atom

a b c (Å): 6.622 6.622 6.622
angles (deg): 83.16 83.16 83.16
Atoms (fractional coordinates):
Pr: 0.154 0.154 0.154
Pr: 0.846 0.846 0.846
Cu: 0.000 0.500 0.500
Cu: 0.153 0.153 0.658
Cu: 0.153 0.658 0.153
Cu: 0.203 0.500 0.797
Cu: 0.203 0.797 0.500
Cu: 0.342 0.847 0.847
Cu: 0.500 0.000 0.500
Cu: 0.500 0.203 0.797
Cu: 0.500 0.500 0.000
Cu: 0.500 0.797 0.203
Cu: 0.658 0.153 0.153
Cu: 0.797 0.203 0.500
Cu: 0.797 0.500 0.203
Cu: 0.847 0.342 0.847
Cu: 0.847 0.847 0.342
Au: 0.393 0.393 0.393
Au: 0.607 0.607 0.607



2.
Here is a relaxed structure of Pr3CuAu from Alexandria via LeMat-Bulk. Energies are from PBE-GGA.

Computed properties:
- Total magnetic moment: 0.000 μB per atom
- Energy of formation: -0.34 eV/atom

a b c (Å): 4.023 8.502 8.539
angles (deg): 95.53 90.01 103.68
Atoms (fractional coordinates):
Pr: 0.058 0.114 0.311
Pr: 0.238 0.475 0.686
Pr: 0.401 0.803 0.049
Pr: 0.599 0.197 0.951
Pr: 0.762 0.525 0.314
Pr: 0.942 0.886 0.689
Cu: 0.218 0.435 0.062
Cu: 0.782 0.565 0.938
Au: 0.407 0.813 0.418
Au: 0.593 0.187 0.582



3.
Here is a relaxed structure of Pr3Cu3Au from Alexandria via LeMat-Bulk. Energies are from PBE-GGA.

Computed properties:
- Total magnetic moment: 0.000 μB per atom
- Energy of formation: -0.31 eV/atom

a b c (Å): 10.234 10.234 10.234
angles (deg): 158.04 155.46 33.16
Atoms (fractional coordinates):
Pr: 0.000 0.000 0.000
Pr: 0.369 0.369 0.000
Pr: 0.680 0.180 0.500
Cu: 0.114 0.614 0.500
Cu: 0.547 0.547 0.000
Cu: 0.828 0.828 0.000
Au: 0.247 0.747 0.500



4.
Here is a relaxed structure of Pr3Cu4Au2 from Alexandria via LeMat-Bulk. Energies are from PBE-GGA.

Computed properties:
- Total magnetic moment: 0.000 μB per atom
- Energy of formation: -0.42 eV/atom

a b c (Å): 5.876 5.876 8.576
angles (deg): 108.17 108.17 44.42
Atoms (fractional coordinates):
Pr: 0.000 0.000 0.000
Pr: 0.337 0.337 0.329
Pr: 0.663 0.663 0.671
Cu: 0.055 0.055 0.398
Cu: 0.271 0.271 0.950
Cu: 0.729 0.729 0.050
Cu: 0.945 0.945 0.602
Au: 0.384 0.384 0.722
Au: 0.616 0.616 0.278